Record 1
Below is a relaxed Ti2Ga2Ni crystal, with properties calculated at the PBE level.

density of states at the Fermi level = 1.0627 states/eV per atom
ΔH_f (0 K) = -326 meV/atom
V = 15.52 Å³/atom
energy above the most stable polymorph in this dataset = 98 meV/atom

Unit cell a=5.2815 b=11.5239 c=5.1006 alpha=90.00 beta=90.00 gamma=90.00
Space group Ibam (No. 72)
Asymmetric unit:
Ti: 0.1834 0.1733 0.0000 x8
Ga: 0.1641 0.4093 0.0000 x8
Ni: 0.0000 0.0000 0.2500 x4

Record 2
Below is a relaxed SnRhO2F crystal, with properties calculated at the PBE level.

density of states at the Fermi level = 0.8401 states/eV per atom
V = 13.52 Å³/atom
E_form (uncorrected) = -0.779 eV per atom

Unit cell a=4.0502 b=4.0502 c=4.1222 alpha=90.00 beta=90.00 gamma=90.00
Space group P4/mmm (No. 123)
Asymmetric unit:
Sn: 0.0000 0.0000 0.0000 x1
Rh: 0.5000 0.5000 0.5000 x1
O: 0.0000 0.5000 0.5000 x2
F: 0.5000 0.5000 0.0000 x1

Record 3
Below is a relaxed Ce2CoRu crystal, with properties calculated at the PBE level.

density of states at the Fermi level = 1.6303 states/eV per atom
ΔH_f (0 K) = -193 meV/atom
V = 19.64 Å³/atom

Unit cell a=3.3593 b=3.3593 c=6.9602 alpha=90.00 beta=90.00 gamma=90.00
Space group P4/mmm (No. 123)
Asymmetric unit:
Ce: 0.0000 0.0000 0.2401 x2
Co: 0.5000 0.5000 0.0000 x1
Ru: 0.5000 0.5000 0.5000 x1

The lowest V belongs to which entry? SnRhO2F

The highest V belongs to which entry? Ce2CoRu